## w
# PBE+U VTe2NF, relaxed
data_VTe2NF
_chemical_formula_sum 'V1 Te2 N1 F1'
_symmetry_space_group_name_H-M 'P 1'
_symmetry_Int_Tables_number 1
_cell_length_a 5.292
_cell_length_b 5.292
_cell_length_c 3.584
_cell_angle_alpha 90.00
_cell_angle_beta 90.00
_cell_angle_gamma 90.00
loop_
_symmetry_equiv_pos_as_xyz
'x,y,z'
loop_
_atom_site_label
_atom_site_type_symbol
_atom_site_fract_x
_atom_site_fract_y
_atom_site_fract_z
_atom_site_occupancy
V1 V 0.000 0.000 0.000 1
F1 F 0.500 0.500 0.500 1
Te1 Te 0.000 0.500 0.000 1
N1 N 0.000 0.000 0.500 1
Te2 Te 0.500 0.000 0.000 1
# Total magnetic moment ... 0.00 μB per formula unit


## x
# PBE+U VTe2NF, relaxed
data_VTe2NF
_chemical_formula_sum 'V1 Te2 N1 F1'
_symmetry_space_group_name_H-M 'P 1'
_symmetry_Int_Tables_number 1
_cell_length_a 4.836
_cell_length_b 4.836
_cell_length_c 4.019
_cell_angle_alpha 90.00
_cell_angle_beta 90.00
_cell_angle_gamma 90.00
loop_
_symmetry_equiv_pos_as_xyz
'x,y,z'
loop_
_atom_site_label
_atom_site_type_symbol
_atom_site_fract_x
_atom_site_fract_y
_atom_site_fract_z
_atom_site_occupancy
N1 N 0.000 0.000 0.500 1
Te1 Te 0.500 0.000 0.000 1
F1 F 0.000 0.000 0.000 1
Te2 Te 0.000 0.500 0.000 1
V1 V 0.500 0.500 0.500 1
# Total magnetic moment ... 2.01 μB per formula unit


Energy ordering: w at the bottom, the next structure 1.116 eV/atom above.